No. 1
ThAl4Cu2Au: optimized geometry, PBE-GGA.

Cell: 4.243 4.243 9.582 Å, 77.21 77.21 60.00°
Fractional positions:
Cu: 0.745 0.745 0.765
Cu: 0.255 0.255 0.235
Al: 0.595 0.595 0.215
Al: 0.405 0.405 0.785
Al: 0.878 0.878 0.366
Al: 0.122 0.122 0.634
Th: 0.000 0.000 0.000
Au: 0.500 0.500 0.500

space-group type	R-3m
crystal system	trigonal

***

No. 2
TbZn2Pd7: optimized geometry, PBE-GGA.

Cell: 4.471 7.215 7.215 Å, 119.60 90.00 90.00°
Fractional positions:
Pd: 0.000 0.784 0.216
Pd: 0.500 0.931 0.696
Pd: 0.500 0.304 0.069
Pd: 0.500 0.696 0.931
Pd: 0.500 0.500 0.500
Pd: 0.500 0.069 0.304
Pd: 0.000 0.216 0.784
Zn: 0.500 0.700 0.300
Zn: 0.500 0.300 0.700
Tb: 0.000 0.000 0.000

space-group type	Cmmm
crystal system	orthorhombic

***

Results for E_form: -0.322, -0.133 (in eV per atom, following the order of the records).